Entry 1:
NdDy2YP4 | GGA-PBE | optimized geometry

a b c (Å): 7.0130 4.0518 7.0143
angles (deg): 90.00 109.46 90.00
With the nearest neighbours (Å) after each atom.
Positions (direct):
Nd1 0.0000 0.0000 0.0000  6 P 2.90
Dy1 0.0000 0.5000 0.5000  6 P 2.86
Dy2 0.5000 0.0000 0.5000  6 P 2.83
Y1 0.5000 0.5000 0.0000  6 P 2.87
P1 0.2527 0.0000 0.7464  3 Dy 2.83-2.86, 2 Y 2.87, 1 Nd 2.90
P2 0.2562 0.5000 0.2568  3 Dy 2.83-2.86, 1 Y 2.87, 2 Nd 2.90
P3 0.7438 0.5000 0.7432  3 Dy 2.83-2.86, 1 Y 2.87, 2 Nd 2.90
P4 0.7473 0.0000 0.2536  3 Dy 2.83-2.86, 2 Y 2.87, 1 Nd 2.90

Output
**Symmetry**: P2/m (10)
**DFT formation energy**: -1.59 eV/atom

Entry 2:
AsPtRh2 | GGA-PBE | optimized geometry

a b c (Å): 4.4122 4.4122 4.4122
angles (deg): 60.00 60.00 60.00
With the nearest neighbours (Å) after each atom.
Positions (direct):
As1 0.0000 0.0000 0.0000  4 Pt 2.70, 4 Rh 2.70
Pt1 0.7500 0.7500 0.7500  4 As 2.70, 4 Rh 2.70
Rh1 0.2500 0.2500 0.2500  4 Rh 2.70, 4 As 2.70
Rh2 0.5000 0.5000 0.5000  4 Pt 2.70, 4 Rh 2.70

Output
**Symmetry**: F-43m (216)
**DFT formation energy**: 0.07 eV/atom

Entry 3:
HgAsP2 | GGA-PBE | optimized geometry

a b c (Å): 9.5257 9.5257 9.5257
angles (deg): 19.70 19.70 19.70
With the nearest neighbours (Å) after each atom.
Positions (direct):
Hg1 0.0000 0.0000 0.0000  6 Hg 3.26, 3 P 3.59
As1 0.2187 0.2187 0.2187  3 P 2.58
P1 0.4891 0.4891 0.4891  3 P 2.29
P2 0.7756 0.7756 0.7756  3 P 2.29

Output
**E above lowest polymorph**: 73.5 meV/atom
**Symmetry**: R3m (160)
**DFT formation energy**: 0.25 eV/atom

Entry 4:
NbRe5 | GGA-PBE | optimized geometry

a b c (Å): 6.3334 6.3334 3.9519
angles (deg): 90.00 90.00 143.54
With the nearest neighbours (Å) after each atom.
Positions (direct):
Nb1 0.0000 0.0000 0.0000  12 Re 2.80-2.90
Re1 0.1720 0.8280 0.5000  10 Re 2.69-2.86, 2 Nb 2.86
Re2 0.3239 0.6761 0.0000  10 Re 2.66-2.90, 2 Nb 2.90
Re3 0.5000 0.5000 0.5000  4 Nb 2.80, 8 Re 2.86-2.90
Re4 0.6761 0.3239 0.0000  10 Re 2.66-2.90, 2 Nb 2.90
Re5 0.8280 0.1720 0.5000  10 Re 2.69-2.86, 2 Nb 2.86

Output
**Symmetry**: Cmmm (65)
**DFT formation energy**: 0.05 eV/atom

Entry 5:
Ac6LaNd2 | GGA-PBE | optimized geometry

a b c (Å): 3.9108 3.9108 29.0609
angles (deg): 90.00 90.00 120.00
With the nearest neighbours (Å) after each atom.
Positions (direct):
Ac1 0.0000 0.0000 0.0662  3 Nd 3.77, 7 Ac 3.85-3.91
Ac2 0.0000 0.0000 0.2776  3 Nd 3.86, 9 Ac 3.91-4.00
Ac3 0.0000 0.0000 0.7224  3 Nd 3.86, 9 Ac 3.91-4.00
Ac4 0.0000 0.0000 0.9338  3 Nd 3.77, 7 Ac 3.85-3.91
Ac5 0.3333 0.6667 0.3912  3 La 3.88, 9 Ac 3.91-4.00
Ac6 0.3333 0.6667 0.6088  3 La 3.88, 9 Ac 3.91-4.00
La1 0.0000 0.0000 0.5000  6 Ac 3.88, 6 La 3.91
Nd1 0.3333 0.6667 0.1699  6 Ac 3.77-3.86, 6 Nd 3.91
Nd2 0.3333 0.6667 0.8301  6 Ac 3.77-3.86, 6 Nd 3.91

Output
**E above lowest polymorph**: 0.0 meV/atom
**Symmetry**: P-6m2 (187)
**DFT formation energy**: 0.07 eV/atom

Entry 6:
Ba2TiCdSb | GGA-PBE | optimized geometry

a b c (Å): 6.4828 6.4828 5.4518
angles (deg): 90.00 90.00 90.00
With the nearest neighbours (Å) after each atom.
Positions (direct):
Ba1 0.0000 0.5000 0.0000  2 Cd 3.24
Ba2 0.5000 0.0000 0.0000  2 Cd 3.24
Ti1 0.0000 0.0000 0.5000  8 Ba 4.24, 4 Sb 4.58
Cd1 0.5000 0.5000 0.0000  2 Sb 2.73
Sb1 0.5000 0.5000 0.5000  2 Cd 2.73

Output
**E_form (uncorrected)**: 0.51 eV per atom
**Symmetry**: P4/mmm (123)

Entry 7:
CsAg2HgRh | GGA-PBE | optimized geometry

a b c (Å): 5.3084 5.3084 5.5857
angles (deg): 90.00 90.00 90.00
With the nearest neighbours (Å) after each atom.
Positions (direct):
Cs1 0.0000 0.0000 0.0000  2 Rh 2.79
Ag1 0.0000 0.5000 0.5000  2 Rh 2.65
Ag2 0.5000 0.0000 0.5000  2 Rh 2.65
Hg1 0.5000 0.5000 0.0000  4 Cs 3.75, 8 Ag 3.85
Rh1 0.0000 0.0000 0.5000  4 Ag 2.65, 2 Cs 2.79

Output
**Symmetry**: P4/mmm (123)
**DFT formation energy**: 0.60 eV/atom

Entry 8:
Th8Au2C3 | GGA-PBE | optimized geometry

a b c (Å): 8.2876 8.2876 6.5429
angles (deg): 103.38 103.38 52.99
With the nearest neighbours (Å) after each atom.
Positions (direct):
Th1 0.1029 0.1029 0.8907  3 C 2.54-2.62
Th2 0.1501 0.6566 0.6140  2 C 2.55-2.56
Th3 0.3434 0.8499 0.3860  2 C 2.55-2.56
Th4 0.3973 0.3973 0.0706  2 C 2.59
Th5 0.6027 0.6027 0.9294  2 C 2.59
Th6 0.6566 0.1501 0.6140  2 C 2.55-2.56
Th7 0.8499 0.3434 0.3860  2 C 2.55-2.56
Th8 0.8971 0.8971 0.1093  3 C 2.54-2.62
Au1 0.2542 0.2542 0.3281  6 Th 3.03-3.15
Au2 0.7458 0.7458 0.6719  6 Th 3.03-3.15
C1 0.0000 0.0000 0.5000  6 Th 2.55-2.62
C2 0.2367 0.7633 0.0000  6 Th 2.54-2.59
C3 0.7633 0.2367 0.0000  6 Th 2.54-2.59

Output
**Symmetry**: C2/m (12)
**DFT formation energy**: -0.26 eV/atom

Entry 9:
BeIn | GGA-PBE | optimized geometry

a b c (Å): 3.7525 3.7525 3.7525
angles (deg): 60.00 60.00 60.00
With the nearest neighbours (Å) after each atom.
Positions (direct):
Be1 0.0000 0.0000 0.0000  6 In 2.65
In1 0.5000 0.5000 0.5000  6 Be 2.65

Output
**E above lowest polymorph**: 383.5 meV/atom
**Symmetry**: Fm-3m (225)
**DFT formation energy**: 0.67 eV/atom

Entry 10:
Sm2HoErN4 | GGA-PBE | optimized geometry

a b c (Å): 6.0834 3.5140 6.0882
angles (deg): 90.00 109.42 90.00
With the nearest neighbours (Å) after each atom.
Positions (direct):
Sm1 0.0000 0.0000 0.0000  6 N 2.52
Sm2 0.5000 0.5000 0.0000  6 N 2.51
Ho1 0.0000 0.5000 0.5000  6 N 2.46
Er1 0.5000 0.0000 0.5000  6 N 2.45
N1 0.2476 0.0000 0.7411  1 Er 2.45, 2 Ho 2.46, 3 Sm 2.51-2.52
N2 0.2536 0.5000 0.2592  2 Er 2.45, 1 Ho 2.46, 3 Sm 2.51-2.52
N3 0.7464 0.5000 0.7408  2 Er 2.45, 1 Ho 2.46, 3 Sm 2.51-2.52
N4 0.7524 0.0000 0.2589  1 Er 2.45, 2 Ho 2.46, 3 Sm 2.51-2.52

Output
**E_form (uncorrected)**: -1.61 eV per atom
**Symmetry**: P2/m (10)

Number 1: calculated total energy -54.81 eV for the cell shown. Number 2: calculated total energy -25.11 eV for the cell shown. Number 3: calculated total energy -14.76 eV for the cell shown. Number 4: calculated total energy -72.03 eV for the cell shown. Number 5: calculated total energy -38.45 eV for the cell shown. Number 6: calculated total energy -14.25 eV for the cell shown. Number 7: calculated total energy -11.23 eV for the cell shown. Number 8: calculated total energy -97.02 eV for the cell shown. Number 9: calculated total energy -5.13 eV for the cell shown. Number 10: calculated total energy -64.75 eV for the cell shown.